First-principles (GGA-PBE) data for a geometry-optimized CuAgO3 structure, as listed in Alexandria.

The structure in POSCAR format:
```
CuAgO3
1.0
-2.614 1.821 4.090
1.030 -1.806 4.749
2.837 3.494 3.543
Ag O Cu
2 6 2
direct
0.854 0.854 0.437 Ag
0.146 0.146 0.563 Ag
0.292 0.941 0.220 O
0.941 0.547 0.220 O
0.547 0.292 0.220 O
0.453 0.708 0.780 O
0.059 0.453 0.780 O
0.708 0.059 0.780 O
0.342 0.342 0.974 Cu
0.658 0.658 0.026 Cu
```

Summary:
ΔE_f (raw)	-0.49	eV per formula unit
raw total energy	-4.46	eV/atom
density	6.4	g/cm3